(1)
Computed, not measured: a geometry-optimized V2O3 structure at the PBEsol level of DFT.

Cell lengths 4.833, 5.397, 14.285 Å; angles 90.00, 90.00, 90.00 degrees
Element x y z (fractional)
O (0.359, 0.582, 0.207)
V (0.004, 0.727, 0.172)
O (0.334, 0.188, 0.546)
V (0.496, 0.135, 0.423)
O (0.334, 0.312, 0.046)
O (0.834, 0.312, 0.454)
V (0.996, 0.365, 0.577)
O (0.666, 0.812, 0.454)
O (0.166, 0.688, 0.546)
O (0.859, 0.918, 0.793)
O (0.321, 0.068, 0.879)
V (0.004, 0.635, 0.423)
O (0.834, 0.188, 0.954)
V (0.504, 0.635, 0.077)
V (0.996, 0.227, 0.328)
V (0.504, 0.727, 0.328)
O (0.141, 0.418, 0.707)
O (0.821, 0.432, 0.121)
O (0.359, 0.918, 0.707)
O (0.679, 0.568, 0.621)
V (0.996, 0.135, 0.077)
V (0.496, 0.227, 0.172)
O (0.641, 0.418, 0.793)
O (0.179, 0.932, 0.379)
O (0.641, 0.082, 0.293)
O (0.321, 0.432, 0.379)
O (0.141, 0.082, 0.207)
O (0.179, 0.568, 0.879)
V (0.504, 0.865, 0.577)
O (0.679, 0.932, 0.121)
O (0.166, 0.812, 0.046)
V (0.504, 0.773, 0.828)
V (0.996, 0.273, 0.828)
O (0.666, 0.688, 0.954)
V (0.496, 0.365, 0.923)
V (0.496, 0.273, 0.672)
O (0.859, 0.582, 0.293)
O (0.821, 0.068, 0.621)
V (0.004, 0.773, 0.672)
V (0.004, 0.865, 0.923)

Results
- energy relative to the elements, uncorrected (eV per atom) = -2.27



(2)
Computed, not measured: a geometry-optimized SrYCu structure at the PBEsol level of DFT.

Cell lengths 3.577, 3.577, 7.021 Å; angles 104.76, 104.76, 89.99 degrees
Element x y z (fractional)
Cu (0.019, 0.019, 0.037)
Sr (0.359, 0.359, 0.717)
Y (0.623, 0.623, 0.246)

Results
- polymorph energy (0 for the lowest one) (meV per atom) = 0.0



(3)
Computed, not measured: a geometry-optimized MgAsS2 structure at the PBEsol level of DFT.

Cell lengths 4.566, 4.566, 4.566 Å; angles 60.00, 60.00, 60.00 degrees
Element x y z (fractional)
S (0.750, 0.750, 0.750)
As (0.500, 0.500, 0.500)
S (0.250, 0.250, 0.250)
Mg (0.000, 0.000, 0.000)

Results
- energy relative to the elements, uncorrected (eV per atom) = -0.20
- polymorph energy (0 for the lowest one) (meV per atom) = 186.9



(4)
Computed, not measured: a geometry-optimized TlB2SeCl structure at the PBEsol level of DFT.

Cell lengths 4.582, 4.582, 4.873 Å; angles 90.00, 90.00, 90.00 degrees
Element x y z (fractional)
Cl (0.000, 0.000, 0.000)
B (0.500, 0.000, 0.000)
Tl (0.500, 0.500, 0.500)
Se (0.000, 0.000, 0.500)
B (0.000, 0.500, 0.000)

Results
- energy relative to the elements, uncorrected (eV per atom) = 1.77



Total energy in eV/cell, matching the order above: -371.1; -13.0; -16.4; -13.7